Arrangement A

Here is crystalline AcSmSn4 at its relaxed geometry from Alexandria. Energies are from GGA-PBE.

Volume in Å³/cell: 177.4

Cell and atoms, written as POSCAR:
```
AcSmSn4
1.0
6.307 0.000 0.000
3.154 5.462 0.000
3.154 1.821 5.150
Ac Sn Sm
1 4 1
Cartesian
3.154 1.821 1.287
6.307 3.641 0.631
6.307 1.809 3.223
7.894 4.558 3.223
4.720 4.558 3.223
0.000 0.000 0.000
```

---

Arrangement B

Here is crystalline AcSmSn4 at its relaxed geometry from Alexandria. Energies are from GGA-PBE.

Volume in Å³/cell: 364.1

Cell and atoms, written as POSCAR:
```
AcSmSn4
1.0
-2.068 4.109 1.428
-4.559 -0.626 -4.802
-5.649 -7.889 6.392
Ac Sm Sn
2 2 8
Cartesian
-5.152 -0.702 2.681
-7.124 -3.704 0.338
-6.904 -5.188 4.929
-5.372 0.783 -1.910
0.000 0.000 0.000
-2.280 -0.313 -2.401
-6.475 -2.312 -2.724
-8.043 -2.401 3.382
-4.234 -2.005 -0.364
-5.801 -2.093 5.743
-3.183 1.017 0.587
-9.093 -5.422 2.432
```

---

Most stable of them? arrangement B.

---

Arrangement A

Here is crystalline Ac2Sm3Sn4 at its relaxed geometry from Alexandria. Energies are from GGA-PBE.

Volume in Å³/cell: 597.4

Cell and atoms, written as POSCAR:
```
Ac2Sm3Sn4
1.0
7.300 0.000 0.000
0.000 9.188 0.000
-3.650 0.000 8.906
Ac Sm Sn
4 6 8
Cartesian
0.000 5.390 1.968
3.650 3.798 6.938
0.000 0.796 6.938
3.650 8.392 1.968
0.000 0.000 0.000
3.650 4.594 0.000
1.825 6.891 5.206
5.475 2.297 3.700
1.825 2.297 3.700
-1.825 6.891 5.206
1.825 6.891 8.301
5.475 2.297 0.605
1.825 2.297 0.605
-1.825 6.891 8.301
0.000 8.692 3.321
3.650 0.496 5.585
0.000 4.098 5.585
3.650 5.090 3.321
```

---

Arrangement B

Here is crystalline Ac2Sm3Sn4 at its relaxed geometry from Alexandria. Energies are from GGA-PBE.

Volume in Å³/cell: 585.1

Cell and atoms, written as POSCAR:
```
Ac2Sm3Sn4
1.0
-5.030 -6.686 0.270
4.402 0.622 7.363
-6.292 4.869 3.350
Ac Sm Sn
4 6 8
Cartesian
-4.040 -2.083 2.659
-6.333 -1.729 8.959
-2.881 0.888 8.324
-0.587 0.534 2.025
-0.945 2.746 5.357
-0.314 -3.032 3.817
-7.892 -0.798 4.820
-2.562 -2.952 6.841
0.972 -0.397 6.164
-4.358 1.757 4.142
-7.330 -3.022 2.657
0.526 -3.551 7.061
0.410 1.827 8.327
-7.447 2.356 3.923
-3.005 -4.825 4.317
-4.952 -0.857 6.016
-3.915 3.630 6.667
-1.968 -0.338 4.968
```

---

Most stable of them? arrangement B.

---

Arrangement A

Here is crystalline AcSmTlSn at its relaxed geometry from Alexandria. Energies are from GGA-PBE.

Volume in Å³/cell: 132.9

Cell and atoms, written as POSCAR:
```
AcSmTlSn
1.0
4.811 0.000 0.000
0.000 4.527 0.000
-2.405 0.000 6.102
Ac Sm Tl Sn
1 1 1 1
Cartesian
2.405 2.263 4.399
0.000 0.000 1.642
0.000 0.000 5.102
2.405 2.263 1.060
```

---

Arrangement B

Here is crystalline AcSmTlSn at its relaxed geometry from Alexandria. Energies are from GGA-PBE.

Volume in Å³/cell: 127.0

Cell and atoms, written as POSCAR:
```
AcSmTlSn
1.0
5.641 0.000 0.000
2.821 4.886 0.000
2.821 1.629 4.606
Ac Tl Sm Sn
1 1 1 1
Cartesian
5.641 3.257 2.303
2.821 1.629 1.152
0.000 0.000 0.000
8.462 4.886 3.455
```

---

Most stable of them? arrangement A.

---

Arrangement A

Here is crystalline SrAcSm2 at its relaxed geometry from Alexandria. Energies are from GGA-PBE.

Volume in Å³/cell: 160.7

Cell and atoms, written as POSCAR:
```
SrAcSm2
1.0
-0.019 -1.054 -6.011
-5.176 -1.623 -2.797
-2.783 3.905 -3.774
Sr Ac Sm
1 1 2
Cartesian
-3.989 0.614 -6.291
0.000 0.000 0.000
-1.995 0.307 -3.145
-5.984 0.921 -9.436
```

---

Arrangement B

Here is crystalline SrAcSm2 at its relaxed geometry from Alexandria. Energies are from GGA-PBE.

Volume in Å³/cell: 159.8

Cell and atoms, written as POSCAR:
```
SrAcSm2
1.0
5.441 0.000 0.000
0.000 5.419 0.000
0.000 0.000 5.419
Sr Ac Sm
1 1 2
Cartesian
2.720 0.000 0.000
2.720 2.710 2.710
0.000 0.000 2.710
0.000 2.710 0.000
```

---

Most stable of them? arrangement B.

---

Arrangement A

Here is crystalline Ac2Tb3Sm8 at its relaxed geometry from Alexandria. Energies are from GGA-PBE.

Volume in Å³/cell: 478.0

Cell and atoms, written as POSCAR:
```
Ac2Tb3Sm8
1.0
5.564 0.000 0.776
0.000 7.815 -0.001
-1.505 -3.909 10.782
Ac Tb Sm
2 3 8
Cartesian
2.061 0.001 5.556
1.999 3.905 6.002
2.782 0.000 0.388
5.564 2.272 0.777
-1.505 1.634 10.781
-0.467 3.912 3.345
4.526 -0.006 8.213
-0.362 0.000 2.596
4.422 3.906 8.961
1.582 1.633 8.984
1.583 -1.639 8.983
2.477 5.545 2.575
2.477 2.273 2.574
```

---

Arrangement B

Here is crystalline Ac2Tb3Sm8 at its relaxed geometry from Alexandria. Energies are from GGA-PBE.

Volume in Å³/cell: 460.2

Cell and atoms, written as POSCAR:
```
Ac2Tb3Sm8
1.0
-0.921 -2.128 -5.856
3.832 -8.079 -0.546
-7.605 -4.735 0.037
Ac Tb Sm
2 3 8
Cartesian
-1.447 -4.564 -2.210
-3.246 -10.378 -4.155
-0.460 -1.064 -2.928
-4.752 -5.569 -0.108
0.979 -7.245 -0.400
-2.367 -7.807 -1.645
-2.327 -7.136 -4.719
-1.441 -3.938 -5.672
-3.253 -11.004 -0.693
0.949 -6.540 -4.253
-4.709 -4.886 -3.965
0.015 -10.056 -2.400
-5.642 -8.402 -2.111
```

---

Most stable of them? arrangement B.

---

Arrangement A

Here is crystalline AcTb6Sm4 at its relaxed geometry from Alexandria. Energies are from GGA-PBE.

Volume in Å³/cell: 403.2

Cell and atoms, written as POSCAR:
```
AcTb6Sm4
1.0
7.939 0.000 0.000
0.000 7.939 0.000
-3.970 -3.970 6.397
Ac Tb Sm
1 6 4
Cartesian
3.970 3.970 0.000
6.079 1.860 2.450
1.860 6.079 2.450
2.110 2.110 3.947
0.000 3.970 0.000
-2.110 -2.110 3.947
3.970 0.000 0.000
-2.641 2.641 5.470
6.611 6.611 0.927
2.641 -2.641 5.470
1.328 1.328 0.927
```

---

Arrangement B

Here is crystalline AcTb6Sm4 at its relaxed geometry from Alexandria. Energies are from GGA-PBE.

Volume in Å³/cell: 746.0

Cell and atoms, written as POSCAR:
```
AcTb6Sm4
1.0
-1.661 -1.297 5.538
3.849 -3.163 -2.756
18.960 15.046 9.210
Ac Tb Sm
2 12 8
Cartesian
5.672 0.887 5.079
15.476 9.699 6.913
-0.831 -0.648 2.769
8.650 6.875 7.374
6.821 3.853 2.948
14.327 6.733 9.044
16.972 8.832 10.329
4.176 1.755 1.663
8.593 3.081 6.469
12.555 7.506 5.523
18.275 12.046 8.302
2.872 -1.459 3.690
7.470 0.314 2.314
13.678 10.272 9.678
11.569 4.863 7.779
5.075 -1.632 1.140
9.579 5.723 4.213
16.073 12.219 10.852
19.420 11.094 11.593
1.728 -0.507 0.400
11.238 8.382 8.504
9.910 2.205 3.489
```

---

Most stable of them? arrangement B.

---

Arrangement A

Here is crystalline AcTb3Sm at its relaxed geometry from Alexandria. Energies are from GGA-PBE.

Volume in Å³/cell: 700.4

Cell and atoms, written as POSCAR:
```
AcTb3Sm
1.0
-5.316 -3.975 1.171
4.481 -4.390 9.589
-1.389 3.794 10.723
Ac Tb Sm
4 12 4
Cartesian
2.515 -4.496 10.005
-4.739 -0.075 11.478
-1.238 0.738 10.730
-0.985 -5.309 10.753
-1.111 -2.117 18.190
-4.892 -2.877 4.096
-1.113 -2.454 3.293
2.669 -1.694 17.388
-4.257 -2.038 14.851
-3.499 -0.513 7.773
2.033 -2.533 6.632
1.275 -4.058 13.710
-1.753 -2.309 12.460
-3.759 -3.370 9.731
-0.471 -2.262 9.024
1.536 -1.201 11.752
-1.801 -4.397 15.508
-2.185 -3.410 6.388
-0.423 -0.174 5.975
-0.038 -1.161 15.095
```

---

Arrangement B

Here is crystalline AcTb3Sm at its relaxed geometry from Alexandria. Energies are from GGA-PBE.

Volume in Å³/cell: 365.2

Cell and atoms, written as POSCAR:
```
AcTb3Sm
1.0
4.958 0.002 -0.001
-2.476 9.711 2.359
0.000 2.650 8.228
Ac Tb Sm
2 6 2
Cartesian
-0.082 8.997 4.379
2.400 3.329 1.812
-0.081 3.692 4.592
-0.079 11.031 7.425
2.397 3.944 6.994
2.399 11.283 9.827
-0.080 6.152 1.784
2.398 6.174 4.407
-0.081 6.320 7.026
2.399 8.656 7.393
```

---

Most stable of them? arrangement A.

---

Arrangement A

Here is crystalline AcTbSm3 at its relaxed geometry from Alexandria. Energies are from GGA-PBE.

Volume in Å³/cell: 389.3

Cell and atoms, written as POSCAR:
```
AcTbSm3
1.0
3.708 0.000 0.000
-1.854 9.053 0.000
0.000 0.000 11.599
Ac Tb Sm
2 2 6
Cartesian
2.762 4.089 2.900
-0.908 4.964 8.699
0.922 0.897 2.900
0.932 8.156 8.699
2.782 1.545 0.010
-0.928 7.508 11.589
2.782 1.545 5.790
-0.928 7.508 5.809
0.921 7.134 2.900
0.933 1.919 8.699
```

---

Arrangement B

Here is crystalline AcTbSm3 at its relaxed geometry from Alexandria. Energies are from GGA-PBE.

Volume in Å³/cell: 358.0

Cell and atoms, written as POSCAR:
```
AcTbSm3
1.0
3.735 -0.003 -0.001
1.871 11.106 2.348
-0.003 0.552 8.747
Ac Tb Sm
2 2 6
Cartesian
1.059 5.472 8.383
2.932 3.559 2.666
4.799 9.544 4.127
4.798 10.589 9.269
1.057 0.683 4.083
2.931 7.318 1.927
1.063 1.161 0.376
2.926 2.999 6.258
2.933 8.348 6.966
1.065 6.032 4.791
```

---

Most stable of them? arrangement B.

---

Arrangement A

Here is crystalline AcTb6Sm12 at its relaxed geometry from Alexandria. Energies are from GGA-PBE.

Volume in Å³/cell: 665.0

Cell and atoms, written as POSCAR:
```
AcTb6Sm12
1.0
8.767 -0.198 -1.242
-1.403 8.656 -1.242
-0.172 -0.198 8.853
Ac Tb Sm
1 6 12
Cartesian
0.000 0.000 0.000
7.233 2.627 6.405
6.553 7.526 0.819
1.606 7.526 6.405
0.640 0.735 5.549
-0.041 5.634 -0.037
5.586 0.735 -0.037
6.238 1.830 3.184
2.941 0.561 2.604
2.603 2.990 -0.165
7.041 5.271 3.765
4.589 5.271 6.534
4.251 7.699 3.765
3.276 6.430 0.562
1.274 4.130 5.806
0.955 6.430 3.184
3.916 1.830 5.806
5.918 4.130 0.562
0.151 2.990 2.604
```

---

Arrangement B

Here is crystalline AcTb6Sm12 at its relaxed geometry from Alexandria. Energies are from GGA-PBE.

Volume in Å³/cell: 654.6

Cell and atoms, written as POSCAR:
```
AcTb6Sm12
1.0
-0.478 -1.925 8.455
8.568 -1.371 0.364
1.424 8.291 2.160
Ac Tb Sm
1 6 12
Cartesian
0.000 0.000 0.000
7.826 -0.095 7.251
2.039 -0.883 6.141
6.239 1.026 1.632
1.688 5.089 3.728
7.475 5.878 4.838
3.274 3.969 9.346
4.880 1.340 7.687
7.210 2.593 5.098
4.541 4.797 6.408
4.633 3.654 3.292
2.303 2.401 5.881
4.973 0.197 4.570
2.261 2.686 0.965
6.501 5.774 9.088
9.282 4.010 7.481
7.252 2.309 10.013
3.013 -0.780 1.891
0.232 0.984 3.498
```

---

Most stable of them? arrangement B.

---

Arrangement A

Here is crystalline Ac2Tb2Sm at its relaxed geometry from Alexandria. Energies are from GGA-PBE.

Volume in Å³/cell: 201.6

Cell and atoms, written as POSCAR:
```
Ac2Tb2Sm
1.0
4.942 0.000 0.000
0.000 4.942 0.000
-2.471 -2.471 8.251
Ac Tb Sm
2 2 1
Cartesian
2.471 0.000 4.126
0.000 2.471 4.126
0.000 0.000 6.731
2.471 2.471 1.520
0.000 0.000 0.000
```

---

Arrangement B

Here is crystalline Ac2Tb2Sm at its relaxed geometry from Alexandria. Energies are from GGA-PBE.

Volume in Å³/cell: 375.8

Cell and atoms, written as POSCAR:
```
Ac2Tb2Sm
1.0
0.491 -5.445 4.006
7.525 -5.720 -2.963
9.116 -1.873 2.070
Ac Tb Sm
4 4 2
Cartesian
13.862 -10.700 2.637
11.734 -7.730 1.201
3.270 -2.339 0.475
5.398 -5.309 1.911
1.722 -5.269 2.764
7.466 -8.154 3.871
15.409 -7.770 0.349
9.665 -4.884 -0.759
8.205 -7.895 0.602
8.926 -5.144 2.510
```

---

Most stable of them? arrangement B.